Record 1
VASP calculation (PBE-GGA) on a relaxed LiZnReTc2 crystal.

Its total DFT energy (no corrections) is -5.863 eV per atom. As for the crystal system: tetragonal. The energy above the lowest structure with this stoichiometry comes out at 0.113 eV per atom.

It has space group P4/mmm (No. 123), with a = 4.677 Å, b = 4.677 Å, c = 4.652 Å, α = 90.00°, β = 90.00° and γ = 90.00°. The distinct sites, in fractional coordinates, are Li at (0.000, 0.000, 0.000), Zn at (0.500, 0.500, 0.000), Re at (0.000, 0.000, 0.500) and Tc at (0.000, 0.500, 0.500).

=====

Record 2
VASP calculation (PBE-GGA) on a relaxed LiZnReTc2 crystal.

Its total DFT energy (no corrections) is -5.976 eV per atom. As for the crystal system: tetragonal. The energy above the lowest structure with this stoichiometry comes out at 0.000 eV per atom.

It has space group P4/mmm (No. 123), with a = 4.130 Å, b = 4.130 Å, c = 4.154 Å, α = 90.00°, β = 90.00° and γ = 90.00°. The distinct sites, in fractional coordinates, are Li at (0.000, 0.000, 0.000), Zn at (0.500, 0.500, 0.500), Re at (0.000, 0.000, 0.500) and Tc at (0.000, 0.500, 0.000).

=====

Record 3
VASP calculation (PBE-GGA) on a relaxed LiRe3Te crystal.

Its total DFT energy (no corrections) is -6.789 eV per atom. As for the uncorrected formation energy: 1.690 eV per atom. As for the crystal system: cubic. The energy above the lowest structure with this stoichiometry comes out at 0.000 eV per atom.

It has space group Pm-3m (No. 221), with a = 4.282 Å, b = 4.282 Å, c = 4.282 Å, α = 90.00°, β = 90.00° and γ = 90.00°. The distinct sites, in fractional coordinates, are Li at (0.000, 0.000, 0.000), Re at (0.000, 0.000, 0.500) and Te at (0.500, 0.500, 0.500).